This record from the Alexandria database describes VP2Cl7O4 after structural relaxation. The functional is PBE with a Hubbard U.

```
28
Lattice="8.495 -0.150 -0.080 -2.491 8.248 0.023 -2.577 -1.044 10.778" Properties=species:S:1:pos:R:3 pbc="T T T"
Cl 2.769 3.469 7.191
Cl 2.653 0.332 9.481
Cl -1.449 -0.173 8.425
Cl 0.626 0.496 6.116
Cl 6.238 2.859 1.299
Cl 0.658 3.585 3.530
Cl 2.801 6.558 4.605
Cl -2.135 2.031 6.269
Cl 5.562 5.023 4.452
Cl 3.314 1.693 3.550
Cl 0.113 5.361 7.171
Cl 4.876 7.227 2.296
Cl 0.774 6.722 1.240
Cl -2.811 4.194 9.422
O 1.100 1.382 1.585
O 3.456 2.388 0.673
O 2.327 5.672 9.136
O -0.025 2.362 8.281
O 2.142 3.119 10.063
O -0.029 4.666 10.048
O 1.285 3.935 0.658
O 3.452 4.692 2.439
P 4.726 2.828 -0.012
P -1.299 4.225 10.733
P 4.066 5.712 3.313
P -0.639 1.342 7.408
V 1.992 2.640 2.011
V 1.435 4.414 8.710
```

Summary:
M_tot (μB per formula unit): 0.08
DFT total energy (eV/atom): -4.90
Symmetry: P-1, No. 2